Compound: Sm2DyTl
Source: Alexandria via LeMat-Bulk
Functional: PBE-GGA
Structure: relaxed

Output
Its magnetization is 0.00 μB per formula unit. As for the symmetry: Immm. The calculation puts the formation energy from the elements at -159 meV/atom.

Lattice parameters (Å, degrees): 6.7876 6.7876 6.7876 146.72 133.13 58.69
Last column: nearest neighbours and their distance in Å.
Fractional positions:
Sm (0.2219, 0.2219, 0.0000)  2 Tl 3.27, 4 Sm 3.39
Sm (0.7781, 0.7781, 0.0000)  2 Tl 3.27, 4 Sm 3.39
Dy (0.5000, 0.0000, 0.5000)  4 Tl 3.33
Tl (0.0000, 0.5000, 0.5000)  4 Sm 3.27, 4 Dy 3.33